Record 1
DFT (GGA-PBE) results for a relaxed FeSi2Ni2 crystal.

Results
The space group is No. 127. As for the formation energy without anion corrections: -6.11 kcal/mol of atoms.

Unit cell a=6.699 b=6.699 c=2.561 alpha=90.00 beta=90.00 gamma=90.00
Last column: magnetic moment on the atom in μB.
Sites, in units of the cell vectors:
Ni 0.370 0.870 0.000  -0.06
Ni 0.870 0.630 0.000  -0.06
Ni 0.630 0.130 0.000  -0.06
Ni 0.130 0.370 0.000  -0.06
Si 0.169 0.669 0.500  -0.02
Si 0.669 0.831 0.500  -0.01
Si 0.831 0.331 0.500  -0.02
Si 0.331 0.169 0.500  -0.01
Fe 0.000 0.000 0.000  2.22
Fe 0.500 0.500 0.000  2.22



Record 2
DFT (GGA-PBE) results for a relaxed FeTe2W crystal.

Results
The space group is No. 156. As for the formation energy without anion corrections: -0.83 kcal/mol of atoms.

Unit cell a=3.947 b=3.947 c=7.131 alpha=90.02 beta=90.02 gamma=60.01
Sites, in units of the cell vectors:
Te 0.875 0.875 0.903
Te 0.208 0.208 0.381
Fe 0.875 0.875 0.552
W 0.542 0.542 0.664



Record 3
DFT (GGA-PBE) results for a relaxed MgTaSi crystal.

Results
The space group is No. 216. As for the formation energy without anion corrections: 7.27 kcal/mol of atoms.

Unit cell a=4.311 b=4.311 c=4.311 alpha=60.00 beta=60.00 gamma=60.00
Last column: magnetic moment on the atom in μB.
Sites, in units of the cell vectors:
Mg 0.500 0.500 0.500  0.00
Si 0.750 0.750 0.750  0.00
Ta 0.000 0.000 0.000  0.20



Record 4
DFT (GGA-PBE) results for a relaxed Mg2CuCl crystal.

Results
The space group is No. 44. As for the formation energy without anion corrections: -9.48 kcal/mol of atoms.

Unit cell a=8.360 b=8.360 c=8.360 alpha=157.82 beta=157.07 gamma=32.11
Sites, in units of the cell vectors:
Cl 0.526 0.526 0.000
Cu 0.807 0.307 0.500
Mg 0.938 0.938 0.000
Mg 0.229 0.729 0.500



Record 5
DFT (GGA-PBE) results for a relaxed ScGaPb3 crystal.

Results
The space group is No. 221. The formation energy comes out at 445.4 meV per atom.

Unit cell a=5.436 b=5.436 c=5.436 alpha=90.00 beta=90.00 gamma=90.00
Sites, in units of the cell vectors:
Pb 0.000 0.500 0.000
Pb 0.000 0.000 0.500
Pb 0.500 0.000 0.000
Sc 0.500 0.500 0.500
Ga 0.000 0.000 0.000



Record 6
DFT (GGA-PBE) results for a relaxed V6PtRh12 crystal.

Results
The space group is No. 148. The formation energy comes out at -194.9 meV per atom.

Unit cell a=6.995 b=6.995 c=6.995 alpha=107.65 beta=107.65 gamma=107.65
Sites, in units of the cell vectors:
V 0.784 0.892 0.570
V 0.430 0.216 0.108
V 0.108 0.430 0.216
V 0.216 0.108 0.430
V 0.570 0.784 0.892
V 0.892 0.570 0.784
Pt 0.000 0.000 0.000
Rh 0.806 0.488 0.387
Rh 0.387 0.806 0.488
Rh 0.488 0.387 0.806
Rh 0.194 0.512 0.613
Rh 0.613 0.194 0.512
Rh 0.512 0.613 0.194
Rh 0.918 0.718 0.186
Rh 0.282 0.814 0.082
Rh 0.814 0.082 0.282
Rh 0.082 0.282 0.814
Rh 0.718 0.186 0.918
Rh 0.186 0.918 0.718



Record 7
DFT (GGA-PBE) results for a relaxed RbHfAlSb3 crystal.

Results
The space group is No. 11. As for the formation energy without anion corrections: -7.37 kcal/mol of atoms.

Unit cell a=4.071 b=10.103 c=10.992 alpha=118.83 beta=90.00 gamma=90.00
Sites, in units of the cell vectors:
Rb 0.250 0.226 0.255
Rb 0.750 0.774 0.745
Hf 0.250 0.669 0.138
Hf 0.750 0.331 0.862
Al 0.250 0.090 0.612
Al 0.750 0.910 0.388
Sb 0.750 0.873 0.130
Sb 0.250 0.127 0.870
Sb 0.250 0.767 0.444
Sb 0.750 0.233 0.556
Sb 0.750 0.473 0.164
Sb 0.250 0.527 0.836



Record 8
DFT (GGA-PBE) results for a relaxed HfPaCo crystal.

Results
The space group is No. 12. The formation energy comes out at -232.2 meV per atom.

Unit cell a=3.447 b=5.531 c=6.552 alpha=102.91 beta=105.20 gamma=90.03
Sites, in units of the cell vectors:
Hf 0.844 0.683 0.688
Hf 0.156 0.317 0.312
Pa 0.569 0.767 0.138
Pa 0.431 0.233 0.862
Co 0.215 0.829 0.431
Co 0.785 0.171 0.569



Record 9
DFT (GGA-PBE) results for a relaxed NaVIr2Pd crystal.

Results
The space group is No. 123. The formation energy comes out at 1151.4 meV per atom.

Unit cell a=4.462 b=4.937 c=4.462 alpha=90.00 beta=90.00 gamma=90.00
Sites, in units of the cell vectors:
Na 0.000 0.500 0.000
Ir 0.000 0.000 0.500
Ir 0.500 0.000 0.000
Pd 0.500 0.500 0.500
V 0.000 0.000 0.000



Record 10
DFT (GGA-PBE) results for a relaxed Pr3Nd2Ho4 crystal.

Results
The space group is No. 2. The formation energy comes out at 19.2 meV per atom.

Unit cell a=6.271 b=8.095 c=6.274 alpha=104.88 beta=80.47 gamma=97.42
Sites, in units of the cell vectors:
Pr 0.889 0.777 0.442
Pr 0.111 0.223 0.558
Pr 0.000 0.000 0.000
Nd 0.667 0.333 0.332
Nd 0.333 0.667 0.668
Ho 0.774 0.553 0.890
Ho 0.226 0.447 0.110
Ho 0.447 0.888 0.222
Ho 0.553 0.112 0.778



Record 11
DFT (GGA-PBE) results for a relaxed YCd2W crystal.

Results
The space group is No. 10. The formation energy comes out at 365.3 meV per atom.

Unit cell a=4.432 b=3.050 c=6.899 alpha=63.87 beta=90.00 gamma=90.00
Sites, in units of the cell vectors:
Cd 0.000 0.977 0.024
Cd 0.000 0.523 0.476
W 0.500 0.250 0.250
Y 0.500 0.750 0.750



Record 12
DFT (GGA-PBE) results for a relaxed Cd2RePb crystal.

Results
The space group is No. 119. The formation energy comes out at 741.5 meV per atom.

Unit cell a=5.404 b=5.404 c=5.404 alpha=133.41 beta=133.41 gamma=68.00
Last column: magnetic moment on the atom in μB.
Sites, in units of the cell vectors:
Pb 0.500 0.500 0.000  -0.02
Re 0.750 0.250 0.500  0.89
Cd 0.000 0.000 0.000  -0.01
Cd 0.250 0.750 0.500  -0.01



Record 13
DFT (GGA-PBE) results for a relaxed CaMoN3 crystal.

Results
The space group is No. 8. As for the formation energy without anion corrections: -11.01 kcal/mol of atoms.

Unit cell a=6.216 b=3.037 c=7.148 alpha=102.26 beta=73.31 gamma=104.14
Sites, in units of the cell vectors:
Ca 0.385 0.593 0.856
Ca 0.601 0.977 0.409
Mo 0.887 0.867 0.903
Mo 0.049 0.268 0.541
N 0.634 0.274 0.969
N 0.139 0.084 0.085
N 0.727 0.398 0.124
N 0.114 0.161 0.263
N 0.790 0.674 0.613
N 0.207 0.912 0.672



Record 14
DFT (GGA-PBE) results for a relaxed HoCuPd3 crystal.

Results
The space group is No. 74. The formation energy comes out at -439.6 meV per atom.

Unit cell a=4.072 b=3.809 c=11.915 alpha=99.20 beta=99.82 gamma=90.00
Sites, in units of the cell vectors:
Ho 0.156 0.407 0.813
Ho 0.844 0.593 0.187
Cu 0.388 0.137 0.275
Cu 0.612 0.863 0.725
Pd 0.717 0.967 0.933
Pd 0.283 0.033 0.067
Pd 0.457 0.707 0.415
Pd 0.543 0.293 0.585
Pd 0.046 0.796 0.593
Pd 0.954 0.204 0.407



Record 15
DFT (GGA-PBE) results for a relaxed KNa2Pb crystal.

Results
The space group is No. 160. The formation energy comes out at -57.7 meV per atom.

Unit cell a=5.512 b=5.512 c=6.950 alpha=66.64 beta=66.64 gamma=60.00
Last column: magnetic moment on the atom in μB.
Sites, in units of the cell vectors:
K 0.491 0.491 0.526  0.01
Na 0.021 0.021 0.937  0.00
Na 0.291 0.291 0.127  0.00
Pb 0.697 0.697 0.910  0.13



Record 16
DFT (GGA-PBE) results for a relaxed KNa4H5 crystal.

Results
The space group is No. 12.

Unit cell a=3.495 b=6.083 c=7.963 alpha=75.27 beta=77.32 gamma=73.31
Sites, in units of the cell vectors:
K 0.000 0.000 0.000
Na 0.603 0.206 0.589
Na 0.193 0.404 0.211
Na 0.807 0.596 0.789
Na 0.397 0.794 0.411
H 0.208 0.900 0.685
H 0.792 0.100 0.315
H 0.392 0.336 0.880
H 0.000 0.500 0.500
H 0.608 0.664 0.120



Record 17
DFT (GGA-PBE) results for a relaxed ScGe2F8 crystal.

Results
The space group is No. 12. As for the formation energy without anion corrections: -61.90 kcal/mol of atoms.

Unit cell a=5.150 b=5.890 c=5.890 alpha=73.02 beta=103.75 gamma=103.75
Last column: magnetic moment on the atom in μB.
Sites, in units of the cell vectors:
Sc 0.000 0.000 0.000  0.03
Ge 0.258 0.655 0.655  0.21
Ge 0.742 0.345 0.345  0.21
F 0.232 0.337 0.928  0.05
F 0.768 0.072 0.663  0.05
F 0.241 0.861 0.861  0.04
F 0.759 0.139 0.139  0.04
F 0.232 0.928 0.337  0.05
F 0.768 0.663 0.072  0.05
F 0.873 0.593 0.593  0.07
F 0.127 0.407 0.407  0.07



Record 18
DFT (GGA-PBE) results for a relaxed La12TbEr3 crystal.

Results
The space group is No. 123. The formation energy comes out at 7.5 meV per atom.

Unit cell a=5.200 b=5.200 c=20.788 alpha=90.00 beta=90.00 gamma=90.00
Sites, in units of the cell vectors:
La 0.500 0.500 0.000
La 0.500 0.500 0.250
La 0.500 0.500 0.500
La 0.500 0.500 0.750
La 0.500 0.000 0.126
La 0.500 0.000 0.375
La 0.500 0.000 0.625
La 0.500 0.000 0.874
La 0.000 0.500 0.126
La 0.000 0.500 0.375
La 0.000 0.500 0.625
La 0.000 0.500 0.874
Tb 0.000 0.000 0.000
Er 0.000 0.000 0.251
Er 0.000 0.000 0.500
Er 0.000 0.000 0.749



Record 19
DFT (GGA-PBE) results for a relaxed Sm2AgHg5 crystal.

Results
The space group is No. 139. The formation energy comes out at -241.5 meV per atom.

Unit cell a=5.255 b=5.255 c=8.020 alpha=109.12 beta=109.12 gamma=90.00
Last column: magnetic moment on the atom in μB.
Sites, in units of the cell vectors:
Sm 0.749 0.749 0.497  0.14
Sm 0.251 0.251 0.503  0.14
Ag 0.000 0.000 0.000  0.00
Hg 0.500 0.500 0.000  0.00
Hg 0.883 0.383 0.765  0.01
Hg 0.383 0.883 0.765  0.01
Hg 0.117 0.617 0.235  0.01
Hg 0.617 0.117 0.235  0.01



Record 20
DFT (GGA-PBE) results for a relaxed Pm6Hg2S3 crystal.

Results
The space group is No. 12. As for the formation energy without anion corrections: -27.59 kcal/mol of atoms.

Unit cell a=7.004 b=7.000 c=7.661 alpha=80.96 beta=71.70 gamma=59.98
Sites, in units of the cell vectors:
Pm 0.411 0.675 0.775
Pm 0.732 0.000 0.787
Pm 0.086 0.325 0.775
Pm 0.268 0.000 0.213
Pm 0.589 0.325 0.225
Pm 0.914 0.675 0.225
Hg 0.161 0.678 0.500
Hg 0.839 0.322 0.500
S 0.000 0.000 0.000
S 0.327 0.346 0.000
S 0.673 0.654 0.000



Record 21
DFT (GGA-PBE) results for a relaxed GdAg4Ge crystal.

Results
The space group is No. 216. The formation energy comes out at -105.0 meV per atom.

Unit cell a=5.587 b=5.587 c=5.587 alpha=60.00 beta=60.00 gamma=60.00
Last column: magnetic moment on the atom in μB.
Sites, in units of the cell vectors:
Ge 0.000 0.000 0.000  -0.01
Gd 0.250 0.250 0.250  6.92
Ag 0.625 0.625 0.125  0.00
Ag 0.625 0.125 0.625  0.00
Ag 0.625 0.625 0.625  0.00
Ag 0.125 0.625 0.625  0.00



Record 22
DFT (GGA-PBE) results for a relaxed Ba5SnTe8 crystal.

Results
The space group is No. 82. As for the formation energy without anion corrections: -26.10 kcal/mol of atoms.

Unit cell a=8.963 b=8.963 c=8.963 alpha=111.72 beta=105.06 gamma=111.72
Sites, in units of the cell vectors:
Ba 0.999 0.370 0.124
Ba 0.876 0.875 0.246
Ba 0.754 0.630 0.629
Ba 0.500 0.000 0.500
Ba 0.371 0.125 0.001
Sn 0.250 0.500 0.750
Te 0.115 0.715 0.006
Te 0.994 0.109 0.709
Te 0.765 0.225 0.338
Te 0.662 0.428 0.887
Te 0.460 0.572 0.235
Te 0.600 0.891 0.885
Te 0.291 0.285 0.400
Te 0.113 0.775 0.540



Record 23
DFT (GGA-PBE) results for a relaxed CaMg2Ni crystal.

Results
The space group is No. 10. The formation energy comes out at 68.7 meV per atom.

Unit cell a=4.439 b=3.416 c=6.046 alpha=73.39 beta=90.00 gamma=90.00
Sites, in units of the cell vectors:
Ca 0.500 0.750 0.750
Mg 0.000 0.087 0.048
Mg 0.000 0.413 0.452
Ni 0.500 0.250 0.250



Record 24
DFT (GGA-PBE) results for a relaxed LiAcErSc crystal.

Results
The space group is No. 216. The formation energy comes out at 172.3 meV per atom.

Unit cell a=5.543 b=5.543 c=5.543 alpha=60.00 beta=60.00 gamma=60.00
Sites, in units of the cell vectors:
Sc 0.500 0.500 0.500
Ac 0.750 0.750 0.750
Li 0.000 0.000 0.000
Er 0.250 0.250 0.250



Record 25
DFT (GGA-PBE) results for a relaxed MgCr2W crystal.

Results
The space group is No. 123. The formation energy comes out at 412.8 meV per atom.

Unit cell a=3.126 b=4.335 c=4.335 alpha=90.00 beta=90.00 gamma=90.00
Last column: magnetic moment on the atom in μB.
Sites, in units of the cell vectors:
Cr 0.000 0.000 0.000  1.93
Cr 0.000 0.500 0.500  1.93
Mg 0.500 0.500 0.000  -0.01
W 0.500 0.000 0.500  -0.66



Number 1: energy -6.439 eV/atom. Number 2: energy -6.961 eV/atom. Number 3: energy -5.975 eV/atom. Number 4: energy -2.694 eV/atom. Number 5: energy -3.651 eV/atom. Number 6: energy -8.035 eV/atom. Number 7: energy -4.825 eV/atom. Number 8: energy -9.084 eV/atom. Number 9: energy -5.519 eV/atom. Number 10: energy -4.668 eV/atom. Number 11: energy -4.947 eV/atom. Number 12: energy -3.755 eV/atom. Number 13: energy -8.039 eV/atom. Number 14: energy -5.290 eV/atom. Number 15: energy -1.919 eV/atom. Number 16: energy -2.496 eV/atom. Number 17: energy -5.460 eV/atom. Number 18: energy -4.833 eV/atom. Number 19: energy -1.966 eV/atom. Number 20: energy -4.968 eV/atom. Number 21: energy -5.122 eV/atom. Number 22: energy -3.900 eV/atom. Number 23: energy -2.674 eV/atom. Number 24: energy -4.057 eV/atom. Number 25: energy -8.036 eV/atom.